(1)
Here is a geometry-optimized AcGa4CuNi2 structure from Alexandria via LeMat-Bulk. Energies are from PBE-GGA.

Lattice parameters (Å, degrees): 4.173 4.173 9.591 77.43 77.43 60.00
Sites, in units of the cell vectors:
Ac (0.000, 0.000, 0.000)
Ga (0.409, 0.409, 0.772)
Ga (0.870, 0.870, 0.390)
Ga (0.130, 0.130, 0.610)
Ga (0.591, 0.591, 0.228)
Cu (0.500, 0.500, 0.500)
Ni (0.776, 0.776, 0.673)
Ni (0.224, 0.224, 0.327)

Summary:
For the calculated volume, the calculation gives 140.0 Å³ per cell. For the total energy, the calculation gives -34.834 eV for the cell shown. As for the space group: R-3m, No. 166. The value obtained for the density of states at the Fermi level is 0.471 states/eV per atom.

(2)
Here is a geometry-optimized Ac3GaCu2Ni6 structure from Alexandria via LeMat-Bulk. Energies are from PBE-GGA.

Lattice parameters (Å, degrees): 5.609 5.609 8.449 90.00 90.00 120.00
Sites, in units of the cell vectors:
Ac (0.333, 0.667, 0.654)
Ac (0.667, 0.333, 0.346)
Ac (0.000, 0.000, 0.000)
Ga (0.000, 0.000, 0.500)
Cu (0.667, 0.333, 0.937)
Cu (0.333, 0.667, 0.063)
Ni (0.636, 0.818, 0.298)
Ni (0.182, 0.364, 0.298)
Ni (0.182, 0.818, 0.298)
Ni (0.818, 0.636, 0.702)
Ni (0.364, 0.182, 0.702)
Ni (0.818, 0.182, 0.702)

Summary:
For the calculated volume, the calculation gives 230.2 Å³ per cell. For the total energy, the calculation gives -60.109 eV for the cell shown. As for the space group: P-3m1, No. 164. The value obtained for the density of states at the Fermi level is 0.532 states/eV per atom.

(3)
Here is a geometry-optimized Ac2GaCuNi6 structure from Alexandria via LeMat-Bulk. Energies are from PBE-GGA.

Lattice parameters (Å, degrees): 6.463 6.408 6.409 45.99 79.64 97.05
Sites, in units of the cell vectors:
Ac (0.692, 0.240, 0.549)
Ac (0.308, 0.760, 0.451)
Ga (0.000, 0.000, 0.000)
Cu (0.500, 0.500, 0.000)
Ni (0.223, 0.233, 0.500)
Ni (0.920, 0.748, 0.831)
Ni (0.224, 0.724, 0.009)
Ni (0.776, 0.276, 0.991)
Ni (0.080, 0.252, 0.169)
Ni (0.777, 0.767, 0.500)

Summary:
For the calculated volume, the calculation gives 175.9 Å³ per cell. For the total energy, the calculation gives -52.986 eV for the cell shown. As for the space group: P-1, No. 2. The value obtained for the density of states at the Fermi level is 0.605 states/eV per atom.

(4)
Here is a geometry-optimized AcGaCu2Ni structure from Alexandria via LeMat-Bulk. Energies are from PBE-GGA.

Lattice parameters (Å, degrees): 4.151 4.198 6.066 110.24 110.01 90.00
Sites, in units of the cell vectors:
Ac (0.439, 0.439, 0.878)
Ga (0.195, 0.695, 0.390)
Cu (0.695, 0.195, 0.390)
Cu (0.060, 0.060, 0.121)
Ni (0.823, 0.823, 0.646)

Summary:
For the calculated volume, the calculation gives 92.3 Å³ per cell. For the total energy, the calculation gives -22.522 eV for the cell shown. As for the space group: Imm2, No. 44. The value obtained for the density of states at the Fermi level is 0.383 states/eV per atom.